Record 1
Entry from Alexandria: a relaxed NpV2H crystal (PBE).

Mass density (g/cm3): 11.69
Total moment (μB per formula unit): 0.8
Crystal system: trigonal
Energy (eV for the cell shown): -33.4
Density of states at the Fermi level (states/eV/f.u.): 6.41

Cell and atoms, written as extended XYZ:
```
4
Lattice="2.689 0.000 0.000 1.345 2.329 0.000 1.345 0.776 7.706" Properties=species:S:1:pos:R:3 pbc="T T T"
V 1.345 0.776 5.046
H 2.689 1.553 3.853
Np 0.000 0.000 0.000
V 4.034 2.329 2.661
```

Record 2
Entry from Alexandria: a relaxed Ba2In2Sb2O crystal (PBE).

Mass density (g/cm3): 5.77
Formation energy (no corrections) (kJ per mole of atoms): -79.9
Total moment (μB per formula unit): 0.0
Crystal system: triclinic
Density of states at the Fermi level (states/eV/f.u.): 2.13

Cell and atoms, written as extended XYZ:
```
7
Lattice="-2.185 -0.573 -3.017 0.126 -7.787 -0.942 -5.777 -2.690 4.714" Properties=species:S:1:pos:R:3 pbc="T T T"
Sb -4.504 -4.210 -0.651
Sb -3.332 -6.840 1.406
In -6.416 -6.088 1.130
Ba -2.286 -1.150 -0.477
In -1.420 -4.963 -0.375
O 0.000 0.000 0.000
Ba -5.551 -9.900 1.232
```

Record 3
Entry from Alexandria: a relaxed InHgTe2 crystal (PBE).

Mass density (g/cm3): 5.99
Formation energy (no corrections) (kJ per mole of atoms): -2.3
Total moment (μB per formula unit): 0.0
Crystal system: trigonal
Density of states at the Fermi level (states/eV/f.u.): 2.27

Cell and atoms, written as extended XYZ:
```
4
Lattice="2.269 0.000 11.826 -1.134 1.965 11.826 -1.134 -1.965 11.826" Properties=species:S:1:pos:R:3 pbc="T T T"
Te 0.000 0.000 3.997
In 0.000 0.000 17.739
Hg 0.000 0.000 0.000
Te 0.000 0.000 31.480
```

Record 4
Entry from Alexandria: a relaxed BaTaV3 crystal (PBE).

Mass density (g/cm3): 7.41
Energy relative to the elements (eV/atom): 2.544
Total moment (μB per formula unit): 1.5
Crystal system: cubic
Density of states at the Fermi level (states/eV/f.u.): 9.05

Cell and atoms, written as extended XYZ:
```
5
Lattice="-4.075 0.591 2.317 -2.336 -1.965 -3.607 0.512 -4.257 1.987" Properties=species:S:1:pos:R:3 pbc="T T T"
Ta -2.950 -2.815 0.348
V 0.256 -2.128 0.993
V -2.038 0.296 1.159
V -1.168 -0.982 -1.804
Ba 0.000 0.000 0.000
```

Record 5
Entry from Alexandria: a relaxed Li2MoW crystal (PBE).

Mass density (g/cm3): 7.90
Energy relative to the elements (eV/atom): 0.519
Total moment (μB per formula unit): 0.0
Crystal system: tetragonal
Density of states at the Fermi level (states/eV/f.u.): 1.96

Cell and atoms, written as extended XYZ:
```
4
Lattice="5.390 0.000 0.000 2.979 4.492 0.000 -4.185 -2.246 2.549" Properties=species:S:1:pos:R:3 pbc="T T T"
Li 0.000 0.000 0.000
Li 4.185 2.246 0.000
W 2.695 0.000 1.274
Mo 1.490 2.246 1.274
```

Record 6
Entry from Alexandria: a relaxed NpInBi2 crystal (PBE).

Mass density (g/cm3): 9.66
Energy relative to the elements (eV/atom): 0.254
Total moment (μB per formula unit): 4.2
Crystal system: trigonal
Density of states at the Fermi level (states/eV/f.u.): 10.82

Cell and atoms, written as extended XYZ:
```
4
Lattice="-0.540 1.560 4.087 -0.124 -2.777 3.420 7.580 0.220 3.294" Properties=species:S:1:pos:R:3 pbc="T T T"
Np 0.000 0.000 0.000
In 3.458 -0.499 5.400
Bi 1.733 -0.249 2.701
Bi 5.183 -0.749 8.100
```

Record 7
Entry from Alexandria: a relaxed PmTmZr2N4 crystal (PBE).

Mass density (g/cm3): 8.45
Formation energy (no corrections) (kJ per mole of atoms): -161.1
Total moment (μB per formula unit): 0.0
Crystal system: orthorhombic
Density of states at the Fermi level (states/eV/f.u.): 2.94

Cell and atoms, written as extended XYZ:
```
16
Lattice="6.747 0.001 -0.008 -0.004 6.747 -0.008 -3.349 -3.351 4.778" Properties=species:S:1:pos:R:3 pbc="T T T"
N 0.053 -0.077 2.419
Zr 3.374 0.000 -0.004
Tm 3.398 -3.351 4.770
N 1.618 -1.706 4.676
Zr 3.372 3.374 -0.008
Zr 1.699 -1.675 2.385
N 3.341 3.474 2.343
N -1.575 -1.706 4.740
Pm -0.002 3.374 -0.004
Zr -1.675 -1.676 2.389
N 3.343 -0.080 2.287
N 1.776 5.103 0.086
Tm 1.697 1.698 2.381
N 4.969 5.103 0.021
Pm 5.071 1.699 2.377
N 0.051 3.477 2.475
```

Record 8
Entry from Alexandria: a relaxed GePS2 crystal (PBE).

Mass density (g/cm3): 3.54
Formation energy (no corrections) (kJ per mole of atoms): 16.6
Total moment (μB per formula unit): 0.0
Crystal system: trigonal
Density of states at the Fermi level (states/eV/f.u.): 0.93

Cell and atoms, written as extended XYZ:
```
4
Lattice="-5.567 -2.616 5.570 -3.156 -1.380 7.550 -5.451 0.674 6.220" Properties=species:S:1:pos:R:3 pbc="T T T"
S -12.635 -2.962 17.240
Ge 0.000 0.000 0.000
P -7.087 -1.661 9.670
S -1.539 -0.361 2.100
```

Question: What is the mass density in the seventh record?
Answer: 8.45 g/cm3

Question: total moment of number 8 (GePS2)?
Answer: 0.0 μB per formula unit

Question: Among the records above, which one has the highest mass density?
Answer: NpV2H